--- P ---
! CsTiAl3 (PBE, optimized geometry); values from VASP
! space-group type	No. 221
! volume	30.13	Å³ per atom
! Fermi-level density of states	1.142	states/eV per atom
&SYSTEM
  ibrav = 0, nat = 5, ntyp = 3
/
ATOMIC_SPECIES
Al 26.98 Al.upf
Ti 47.87 Ti.upf
Cs 132.91 Cs.upf
ATOMIC_POSITIONS crystal
Al 0.0000 0.0000 0.5000
Al 0.0000 0.5000 0.0000
Al 0.5000 0.0000 0.0000
Ti 0.0000 0.0000 0.0000
Cs 0.5000 0.5000 0.5000
CELL_PARAMETERS angstrom
-3.1065 -1.3823 4.0929
-1.4290 -4.4287 -2.5802
4.0768 -2.6056 2.2143

--- Q ---
! CsTiAl3 (PBE, optimized geometry); values from VASP
! space-group type	No. 221
! volume	35.73	Å³ per atom
! Fermi-level density of states	1.408	states/eV per atom
&SYSTEM
  ibrav = 0, nat = 5, ntyp = 3
/
ATOMIC_SPECIES
Al 26.98 Al.upf
Ti 47.87 Ti.upf
Cs 132.91 Cs.upf
ATOMIC_POSITIONS crystal
Al 0.5000 0.0000 0.0000
Ti 0.5000 0.5000 0.5000
Cs 0.0000 0.0000 0.0000
Al 0.0000 0.5000 0.0000
Al 0.0000 0.0000 0.5000
CELL_PARAMETERS angstrom
-0.4191 -0.7538 -5.5659
5.6160 0.0320 -0.4272
0.0888 -5.5815 0.7492

Most stable one: P, least stable one: Q.

--- P ---
! CsTiAl (PBE, optimized geometry); values from VASP
! space-group type	No. 62
! volume	35.22	Å³ per atom
! Fermi-level density of states	0.932	states/eV per atom
&SYSTEM
  ibrav = 0, nat = 12, ntyp = 3
/
ATOMIC_SPECIES
Ti 47.87 Ti.upf
Al 26.98 Al.upf
Cs 132.91 Cs.upf
ATOMIC_POSITIONS crystal
Ti 0.4260 0.7500 0.9470
Al 0.7031 0.7500 0.9109
Al 0.7969 0.2500 0.4109
Al 0.2031 0.7500 0.5891
Ti 0.9260 0.7500 0.5530
Cs 0.9475 0.7500 0.1656
Ti 0.0740 0.2500 0.4470
Cs 0.0525 0.2500 0.8344
Cs 0.5525 0.2500 0.6656
Ti 0.5740 0.2500 0.0530
Cs 0.4475 0.7500 0.3344
Al 0.2969 0.2500 0.0891
CELL_PARAMETERS angstrom
9.6980 0.0000 0.0000
0.0000 3.4255 0.0000
0.0000 0.0000 12.7216

--- Q ---
! CsTiAl (PBE, optimized geometry); values from VASP
! space-group type	No. 1
! volume	38.07	Å³ per atom
! Fermi-level density of states	0.489	states/eV per atom
&SYSTEM
  ibrav = 0, nat = 6, ntyp = 3
/
ATOMIC_SPECIES
Al 26.98 Al.upf
Cs 132.91 Cs.upf
Ti 47.87 Ti.upf
ATOMIC_POSITIONS crystal
Al 0.7962 0.8540 0.6305
Cs 0.7274 0.5104 0.6556
Ti 0.4904 0.9108 0.2602
Al 0.4063 0.7166 0.3662
Cs 0.1903 0.1347 0.9260
Ti 0.1007 0.7885 0.0006
CELL_PARAMETERS angstrom
3.9262 0.0041 0.0006
-0.6407 13.0445 -0.0881
1.9630 -0.8419 4.4661

Most stable one: Q, least stable one: P.

--- P ---
! CsTi3Al (PBE, optimized geometry); values from VASP
! space-group type	No. 221
! volume	23.77	Å³ per atom
! Fermi-level density of states	1.020	states/eV per atom
&SYSTEM
  ibrav = 0, nat = 5, ntyp = 3
/
ATOMIC_SPECIES
Al 26.98 Al.upf
Ti 47.87 Ti.upf
Cs 132.91 Cs.upf
ATOMIC_POSITIONS crystal
Al 0.5000 0.5000 0.5000
Ti 0.0000 0.0000 0.5000
Ti 0.5000 0.0000 0.0000
Cs 0.0000 0.0000 0.0000
Ti 0.0000 0.5000 0.0000
CELL_PARAMETERS angstrom
4.9167 0.0000 0.0000
0.0000 4.9167 0.0000
0.0000 0.0000 4.9167

--- Q ---
! CsTi3Al (PBE, optimized geometry); values from VASP
! space-group type	No. 221
! volume	26.44	Å³ per atom
! Fermi-level density of states	1.046	states/eV per atom
&SYSTEM
  ibrav = 0, nat = 5, ntyp = 3
/
ATOMIC_SPECIES
Al 26.98 Al.upf
Ti 47.87 Ti.upf
Cs 132.91 Cs.upf
ATOMIC_POSITIONS crystal
Al 0.0000 0.0000 0.0000
Ti 0.0000 0.0000 0.5000
Cs 0.5000 0.5000 0.5000
Ti 0.5000 0.0000 0.0000
Ti 0.0000 0.5000 0.0000
CELL_PARAMETERS angstrom
-4.4327 0.8680 -2.3558
-0.4807 -4.9851 -0.9323
-2.4642 -0.5889 4.4196

Most stable one: Q, least stable one: P.

--- P ---
! CsAl2Tl2 (PBE, optimized geometry); values from VASP
! space-group type	No. 139
! volume	30.97	Å³ per atom
! Fermi-level density of states	0.397	states/eV per atom
&SYSTEM
  ibrav = 0, nat = 5, ntyp = 3
/
ATOMIC_SPECIES
Cs 132.91 Cs.upf
Tl 204.38 Tl.upf
Al 26.98 Al.upf
ATOMIC_POSITIONS crystal
Cs 0.0000 0.0000 0.0000
Tl 0.6256 0.6256 0.7487
Tl 0.3744 0.3744 0.2513
Al 0.2500 0.7500 0.5000
Al 0.7500 0.2500 0.5000
CELL_PARAMETERS angstrom
4.8813 0.0000 0.0000
0.0000 4.8813 0.0000
2.4407 2.4407 6.4984

--- Q ---
! CsAl2Tl2 (PBE, optimized geometry); values from VASP
! space-group type	No. 139
! volume	30.89	Å³ per atom
! Fermi-level density of states	0.464	states/eV per atom
&SYSTEM
  ibrav = 0, nat = 5, ntyp = 3
/
ATOMIC_SPECIES
Tl 204.38 Tl.upf
Cs 132.91 Cs.upf
Al 26.98 Al.upf
ATOMIC_POSITIONS crystal
Tl 0.7500 0.2500 0.5000
Tl 0.2500 0.7500 0.5000
Cs 0.0000 0.0000 0.0000
Al 0.3858 0.3858 0.2284
Al 0.6142 0.6142 0.7716
CELL_PARAMETERS angstrom
-3.0296 2.5268 -3.2155
-3.9384 -0.7250 3.1410
-2.1935 6.0073 2.7596

--- R ---
! CsAl2Tl2 (PBE, optimized geometry); values from VASP
! space-group type	No. 127
! volume	30.34	Å³ per atom
! Fermi-level density of states	0.628	states/eV per atom
&SYSTEM
  ibrav = 0, nat = 10, ntyp = 3
/
ATOMIC_SPECIES
Al 26.98 Al.upf
Cs 132.91 Cs.upf
Tl 204.38 Tl.upf
ATOMIC_POSITIONS crystal
Al 0.1133 0.3867 0.0000
Cs 0.0000 0.0000 0.0000
Cs 0.5000 0.5000 0.0000
Al 0.3867 0.8867 0.0000
Tl 0.3381 0.1619 0.5000
Al 0.8867 0.6133 0.0000
Tl 0.8381 0.3381 0.5000
Tl 0.1619 0.6619 0.5000
Tl 0.6619 0.8381 0.5000
Al 0.6133 0.1133 0.0000
CELL_PARAMETERS angstrom
-8.0136 0.0964 -4.7318
3.3761 -6.4046 -5.8481
-1.2482 -2.5409 2.0621

--- S ---
! CsAl2Tl2 (PBE, optimized geometry); values from VASP
! space-group type	No. 127
! volume	30.45	Å³ per atom
! Fermi-level density of states	0.402	states/eV per atom
&SYSTEM
  ibrav = 0, nat = 10, ntyp = 3
/
ATOMIC_SPECIES
Cs 132.91 Cs.upf
Tl 204.38 Tl.upf
Al 26.98 Al.upf
ATOMIC_POSITIONS crystal
Cs 0.5000 0.5000 0.0000
Tl 0.1429 0.3571 0.0000
Tl 0.8571 0.6429 0.0000
Al 0.3634 0.1366 0.5000
Al 0.6366 0.8634 0.5000
Al 0.8634 0.3634 0.5000
Tl 0.3571 0.8571 0.0000
Tl 0.6429 0.1429 0.0000
Cs 0.0000 0.0000 0.0000
Al 0.1366 0.6366 0.5000
CELL_PARAMETERS angstrom
9.4295 0.0000 0.0000
0.0000 9.4295 0.0000
0.0000 0.0000 3.4243

Most stable one: Q, least stable one: S.

--- P ---
! CsAl3Tl (PBE, optimized geometry); values from VASP
! space-group type	No. 221
! volume	45.27	Å³ per atom
! Fermi-level density of states	1.812	states/eV per atom
&SYSTEM
  ibrav = 0, nat = 5, ntyp = 3
/
ATOMIC_SPECIES
Tl 204.38 Tl.upf
Al 26.98 Al.upf
Cs 132.91 Cs.upf
ATOMIC_POSITIONS crystal
Tl 0.5000 0.5000 0.5000
Al 0.0000 0.5000 0.0000
Cs 0.0000 0.0000 0.0000
Al 0.5000 0.0000 0.0000
Al 0.0000 0.0000 0.5000
CELL_PARAMETERS angstrom
6.0945 0.0000 0.0000
0.0000 6.0945 0.0000
0.0000 0.0000 6.0945

--- Q ---
! CsAl3Tl (PBE, optimized geometry); values from VASP
! space-group type	No. 221
! volume	36.34	Å³ per atom
! Fermi-level density of states	1.068	states/eV per atom
&SYSTEM
  ibrav = 0, nat = 5, ntyp = 3
/
ATOMIC_SPECIES
Tl 204.38 Tl.upf
Cs 132.91 Cs.upf
Al 26.98 Al.upf
ATOMIC_POSITIONS crystal
Tl 0.0000 0.0000 0.0000
Cs 0.5000 0.5000 0.5000
Al 0.5000 0.0000 0.0000
Al 0.0000 0.5000 0.0000
Al 0.0000 0.0000 0.5000
CELL_PARAMETERS angstrom
-2.1993 1.6355 4.9564
-2.0296 -5.2231 0.8229
4.8085 -1.4566 2.6143

Most stable one: Q, least stable one: P.

--- P ---
! CsAl3W (PBE, optimized geometry); values from VASP
! space-group type	No. 221
! volume	27.17	Å³ per atom
! Fermi-level density of states	0.808	states/eV per atom
&SYSTEM
  ibrav = 0, nat = 5, ntyp = 3
/
ATOMIC_SPECIES
Al 26.98 Al.upf
W 183.84 W.upf
Cs 132.91 Cs.upf
ATOMIC_POSITIONS crystal
Al 0.0000 0.5000 0.0000
Al 0.0000 0.0000 0.5000
W 0.0000 0.0000 0.0000
Al 0.5000 0.0000 0.0000
Cs 0.5000 0.5000 0.5000
CELL_PARAMETERS angstrom
5.1408 0.0000 0.0000
0.0000 5.1408 0.0000
0.0000 0.0000 5.1408

--- Q ---
! CsAl3W (PBE, optimized geometry); values from VASP
! space-group type	No. 221
! volume	29.80	Å³ per atom
! Fermi-level density of states	1.753	states/eV per atom
&SYSTEM
  ibrav = 0, nat = 5, ntyp = 3
/
ATOMIC_SPECIES
Cs 132.91 Cs.upf
Al 26.98 Al.upf
W 183.84 W.upf
ATOMIC_POSITIONS crystal
Cs 0.0000 0.0000 0.0000
Al 0.0000 0.5000 0.0000
Al 0.0000 0.0000 0.5000
W 0.5000 0.5000 0.5000
Al 0.5000 0.0000 0.0000
CELL_PARAMETERS angstrom
-0.4515 -3.6725 -3.7968
1.9777 -3.6510 3.2964
-4.8982 -1.1356 1.6809

Most stable one: P, least stable one: Q.

--- P ---
! CsY3Al (PBE, optimized geometry); values from VASP
! space-group type	No. 221
! volume	38.89	Å³ per atom
! Fermi-level density of states	1.586	states/eV per atom
&SYSTEM
  ibrav = 0, nat = 5, ntyp = 3
/
ATOMIC_SPECIES
Cs 132.91 Cs.upf
Al 26.98 Al.upf
Y 88.91 Y.upf
ATOMIC_POSITIONS crystal
Cs 0.5000 0.5000 0.5000
Al 0.0000 0.0000 0.0000
Y 0.0000 0.0000 0.5000
Y 0.0000 0.5000 0.0000
Y 0.5000 0.0000 0.0000
CELL_PARAMETERS angstrom
5.7937 0.0000 0.0000
0.0000 5.7937 0.0000
0.0000 0.0000 5.7937

--- Q ---
! CsY3Al (PBE, optimized geometry); values from VASP
! space-group type	No. 221
! volume	34.68	Å³ per atom
! Fermi-level density of states	1.088	states/eV per atom
&SYSTEM
  ibrav = 0, nat = 5, ntyp = 3
/
ATOMIC_SPECIES
Al 26.98 Al.upf
Y 88.91 Y.upf
Cs 132.91 Cs.upf
ATOMIC_POSITIONS crystal
Al 0.5000 0.5000 0.5000
Y 0.5000 0.0000 0.0000
Y 0.0000 0.5000 0.0000
Cs 0.0000 0.0000 0.0000
Y 0.0000 0.0000 0.5000
CELL_PARAMETERS angstrom
5.5762 0.0000 0.0000
0.0000 5.5762 0.0000
0.0000 0.0000 5.5762

Most stable one: P, least stable one: Q.

--- P ---
! Cs2YAl (PBE, optimized geometry); values from VASP
! space-group type	No. 122
! volume	72.82	Å³ per atom
! Fermi-level density of states	1.454	states/eV per atom
&SYSTEM
  ibrav = 0, nat = 8, ntyp = 3
/
ATOMIC_SPECIES
Cs 132.91 Cs.upf
Al 26.98 Al.upf
Y 88.91 Y.upf
ATOMIC_POSITIONS crystal
Cs 0.4709 0.1250 0.2500
Cs 0.8750 0.7209 0.7500
Al 0.2500 0.7500 0.5000
Cs 0.3750 0.5291 0.7500
Y 0.7500 0.2500 0.5000
Cs 0.2791 0.6250 0.2500
Al 0.5000 0.5000 0.0000
Y 0.0000 0.0000 0.0000
CELL_PARAMETERS angstrom
14.2370 0.0000 0.0000
0.0000 14.2370 0.0000
7.1185 7.1185 2.8742

--- Q ---
! Cs2YAl (PBE, optimized geometry); values from VASP
! space-group type	No. 225
! volume	46.37	Å³ per atom
! Fermi-level density of states	1.808	states/eV per atom
&SYSTEM
  ibrav = 0, nat = 4, ntyp = 3
/
ATOMIC_SPECIES
Y 88.91 Y.upf
Cs 132.91 Cs.upf
Al 26.98 Al.upf
ATOMIC_POSITIONS crystal
Y 0.5000 0.5000 0.5000
Cs 0.2500 0.2500 0.2500
Cs 0.7500 0.7500 0.7500
Al 0.0000 0.0000 0.0000
CELL_PARAMETERS angstrom
0.0000 4.5263 4.5263
4.5263 0.0000 4.5263
4.5263 4.5263 0.0000

Most stable one: P, least stable one: Q.